--- A ---
Entry from Alexandria: crystalline CaIr3Pt at its relaxed geometry (PBE).

a = 4.8741 Å, b = 4.8741 Å, c = 4.8741 Å
α = 90.00°, β = 90.00°, γ = 90.00°
Space group Pm-3m (No. 221)
Unique sites:
Ca: 0.0000 0.0000 0.0000
Ir: 0.0000 0.5000 0.5000
Pt: 0.5000 0.5000 0.5000

Output
D(E_F) = 5.622 states/eV/cell
ρ = 11.642 g cm⁻³
total moment = 3.40 μB/f.u.

=====

--- B ---
Entry from Alexandria: crystalline CaIr3Pt at its relaxed geometry (PBE).

a = 4.6878 Å, b = 4.6878 Å, c = 4.6878 Å
α = 90.00°, β = 90.00°, γ = 90.00°
Space group Pm-3m (No. 221)
Unique sites:
Ca: 0.0000 0.0000 0.0000
Ir: 0.0000 0.0000 0.5000
Pt: 0.5000 0.5000 0.5000

Output
D(E_F) = 5.870 states/eV/cell
ρ = 13.086 g cm⁻³
total moment = 3.17 μB/f.u.

=====

Verdict on stability: A comes out on top.

=====

--- A ---
Entry from Alexandria: crystalline CaIr2Pt2 at its relaxed geometry (PBE).

a = 4.2207 Å, b = 4.2207 Å, c = 10.8514 Å
α = 90.00°, β = 90.00°, γ = 90.00°
Space group I4/mmm (No. 139)
Unique sites:
Ca: 0.0000 0.0000 0.0000
Ir: 0.0000 0.0000 0.3942
Pt: 0.0000 0.5000 0.2500

Output
D(E_F) = 8.252 states/eV/cell
ρ = 13.996 g cm⁻³
total moment = 0.00 μB/f.u.

=====

--- B ---
Entry from Alexandria: crystalline CaIr2Pt2 at its relaxed geometry (PBE).

a = 7.8148 Å, b = 7.8148 Å, c = 2.8349 Å
α = 90.00°, β = 90.00°, γ = 90.00°
Space group P4/mbm (No. 127)
Unique sites:
Ca: 0.0000 0.0000 0.0000
Ir: 0.1193 0.3807 0.0000
Pt: 0.1814 0.6814 0.5000

Output
D(E_F) = 14.114 states/eV/cell
ρ = 15.628 g cm⁻³
total moment = 0.00 μB/f.u.

=====

Verdict on stability: B comes out on top.

=====

--- A ---
Entry from Alexandria: crystalline CaPu3Ir2 at its relaxed geometry (PBE).

a = 4.3426 Å, b = 8.7493 Å, c = 7.5376 Å
α = 90.00°, β = 90.00°, γ = 90.00°
Space group Pmc2_1 (No. 26)
Unique sites:
Ca: 0.0000 0.0785 0.0000
Pu: 0.0000 0.3185 0.6215
Pu: 0.5000 0.1848 0.3291
Pu: 0.5000 0.4163 0.9569
Ir: 0.0000 0.3816 0.2431
Ir: 0.5000 0.1323 0.7117

Output
D(E_F) = 53.432 states/eV/cell
ρ = 13.411 g cm⁻³
total moment = 5.67 μB/f.u.

=====

--- B ---
Entry from Alexandria: crystalline CaPu3Ir2 at its relaxed geometry (PBE).

a = 16.6302 Å, b = 4.2448 Å, c = 7.3485 Å
α = 90.00°, β = 111.04°, γ = 90.00°
Space group C2/m (No. 12)
Unique sites:
Ca: 0.1157 0.0000 0.1833
Pu: 0.0595 0.0000 0.6630
Pu: 0.1199 0.5000 0.5523
Pu: 0.2133 0.5000 0.9462
Ir: 0.0297 0.5000 0.8613
Ir: 0.2394 0.0000 0.6319

Output
D(E_F) = 43.135 states/eV/cell
ρ = 15.866 g cm⁻³
total moment = 2.93 μB/f.u.

=====

Verdict on stability: A comes out on top.

=====

--- A ---
Entry from Alexandria: crystalline CaPu2Ir at its relaxed geometry (PBE).

a = 3.9793 Å, b = 3.9793 Å, c = 27.4355 Å
α = 90.00°, β = 90.00°, γ = 120.00°
Space group R-3m (No. 166, hexagonal axes)
Unique sites:
Ca: 0.0000 0.0000 0.0000
Pu: 0.0000 0.0000 0.2225
Ir: 0.0000 0.0000 0.5000

Output
D(E_F) = 47.202 states/eV/cell
ρ = 9.537 g cm⁻³
total moment = 11.25 μB/f.u.

=====

--- B ---
Entry from Alexandria: crystalline CaPu2Ir at its relaxed geometry (PBE).

a = 3.4829 Å, b = 3.4829 Å, c = 9.0230 Å
α = 90.00°, β = 90.00°, γ = 90.00°
Space group P4/mmm (No. 123)
Unique sites:
Ca: 0.0000 0.0000 0.0000
Pu: 0.5000 0.5000 0.3219
Ir: 0.0000 0.0000 0.5000

Output
D(E_F) = 13.329 states/eV/cell
ρ = 10.928 g cm⁻³
total moment = 11.37 μB/f.u.

=====

Verdict on stability: B comes out on top.

=====

--- A ---
Entry from Alexandria: crystalline RbCaIr2 at its relaxed geometry (PBE).

a = 4.8120 Å, b = 4.8120 Å, c = 20.0811 Å
α = 90.00°, β = 90.00°, γ = 90.00°
Space group I-42d (No. 122)
Unique sites:
Rb: 0.0000 0.0000 0.0000
Ca: 0.0000 0.0000 0.5000
Ir: 0.0760 0.2500 0.6250

Output
D(E_F) = 7.726 states/eV/cell
ρ = 7.285 g cm⁻³
total moment = 0.00 μB/f.u.

=====

--- B ---
Entry from Alexandria: crystalline RbCaIr2 at its relaxed geometry (PBE).

a = 7.1086 Å, b = 7.1086 Å, c = 7.1086 Å
α = 90.00°, β = 90.00°, γ = 90.00°
Space group Fm-3m (No. 225)
Unique sites:
Rb: 0.0000 0.0000 0.0000
Ca: 0.0000 0.0000 0.5000
Ir: 0.2500 0.2500 0.2500

Output
D(E_F) = 16.049 states/eV/cell
ρ = 9.430 g cm⁻³
total moment = 0.00 μB/f.u.

=====

Verdict on stability: A comes out on top.

=====

--- A ---
Entry from Alexandria: crystalline Rb2CaIr at its relaxed geometry (PBE).

a = 8.0987 Å, b = 8.0987 Å, c = 8.0987 Å
α = 90.00°, β = 90.00°, γ = 90.00°
Space group Fm-3m (No. 225)
Unique sites:
Rb: 0.2500 0.2500 0.2500
Ca: 0.0000 0.0000 0.0000
Ir: 0.0000 0.0000 0.5000

Output
D(E_F) = 16.609 states/eV/cell
ρ = 5.042 g cm⁻³
total moment = 0.00 μB/f.u.

=====

--- B ---
Entry from Alexandria: crystalline Rb2CaIr at its relaxed geometry (PBE).

a = 12.5415 Å, b = 12.5415 Å, c = 5.3102 Å
α = 90.00°, β = 90.00°, γ = 90.00°
Space group I-42d (No. 122)
Unique sites:
Rb: 0.0936 0.2500 0.1250
Ca: 0.0000 0.0000 0.5000
Ir: 0.0000 0.0000 0.0000

Output
D(E_F) = 20.369 states/eV/cell
ρ = 3.207 g cm⁻³
total moment = 0.00 μB/f.u.

=====

Verdict on stability: B comes out on top.